# 1
First-principles (PBE-GGA) data for a relaxed structure of BaCu4Ni, as listed in Alexandria.

Structure (POSCAR):
```
BaCu4Ni
1.0
0.000 3.675 3.675
3.675 0.000 3.675
3.675 3.675 0.000
Ba Cu Ni
1 4 1
direct
0.000 0.000 0.000
0.133 0.622 0.622
0.622 0.133 0.622
0.622 0.622 0.133
0.622 0.622 0.622
0.250 0.250 0.250
```

## Properties
- total DFT energy (no corrections) (eV/atom) = -3.77
- DFT formation energy (eV per atom) = 0.246
- calculated volume (Å³/cell) = 99.26

***

# 2
First-principles (PBE-GGA) data for a relaxed structure of Sr4InPb, as listed in Alexandria.

Structure (POSCAR):
```
Sr4InPb
1.0
5.374 -7.695 0.000
5.374 7.695 0.000
-3.857 0.000 6.284
Sr In Pb
8 2 2
direct
0.049 0.697 0.915
0.246 0.360 0.734
0.303 0.951 0.585
0.360 0.246 0.234
0.640 0.754 0.766
0.697 0.049 0.415
0.754 0.640 0.266
0.951 0.303 0.085
0.009 0.991 0.750
0.991 0.009 0.250
0.360 0.640 0.250
0.640 0.360 0.750
```

## Properties
- energy above the most stable polymorph in this dataset (meV/atom) = 0.0
- total DFT energy (no corrections) (eV/atom) = -2.57
- DFT formation energy (eV per atom) = -0.379
- calculated volume (Å³/cell) = 519.70

***

# 3
First-principles (PBE-GGA) data for a relaxed structure of CrGa2Re, as listed in Alexandria.

Structure (POSCAR):
```
CrGa2Re
1.0
6.137 0.000 0.000
0.000 6.137 0.000
0.000 0.000 6.137
Cr Ga Re
4 8 4
direct
0.000 0.000 0.000
0.000 0.500 0.500
0.500 0.000 0.500
0.500 0.500 0.000
0.250 0.250 0.250
0.250 0.250 0.750
0.250 0.750 0.250
0.250 0.750 0.750
0.750 0.250 0.250
0.750 0.250 0.750
0.750 0.750 0.250
0.750 0.750 0.750
0.000 0.000 0.500
0.000 0.500 0.000
0.500 0.000 0.000
0.500 0.500 0.500
```

## Properties
- energy above the most stable polymorph in this dataset (meV/atom) = 0.0
- total DFT energy (no corrections) (eV/atom) = -6.87
- DFT formation energy (eV per atom) = 0.161
- calculated volume (Å³/cell) = 231.18

***

# 4
First-principles (PBE-GGA) data for a relaxed structure of SrGa4Pb, as listed in Alexandria.

Structure (POSCAR):
```
SrGa4Pb
1.0
0.000 4.134 4.134
4.134 0.000 4.134
4.134 4.134 0.000
Sr Ga Pb
1 4 1
direct
0.000 0.000 0.000
0.375 0.375 0.375
0.375 0.375 0.874
0.375 0.874 0.375
0.874 0.375 0.375
0.750 0.750 0.750
```

## Properties
- total DFT energy (no corrections) (eV/atom) = -3.11
- DFT formation energy (eV per atom) = -0.195
- calculated volume (Å³/cell) = 141.27

***

# 5
First-principles (PBE-GGA) data for a relaxed structure of TbDy3Al2, as listed in Alexandria.

Structure (POSCAR):
```
TbDy3Al2
1.0
3.305 0.000 0.000
0.000 5.499 0.000
0.000 0.000 18.208
Tb Dy Al
2 6 4
direct
0.000 0.000 0.000
0.500 0.500 0.500
0.000 0.000 0.189
0.000 0.000 0.811
0.000 0.500 0.000
0.500 0.000 0.500
0.500 0.500 0.311
0.500 0.500 0.689
0.000 0.000 0.357
0.000 0.000 0.643
0.500 0.500 0.143
0.500 0.500 0.857
```

## Properties
- energy above the most stable polymorph in this dataset (meV/atom) = 507.5
- total DFT energy (no corrections) (eV/atom) = -4.10
- DFT formation energy (eV per atom) = 0.218
- calculated volume (Å³/cell) = 330.89

***

# 6
First-principles (PBE-GGA) data for a relaxed structure of Sb2Au2I, as listed in Alexandria.

Structure (POSCAR):
```
Sb2Au2I
1.0
4.242 0.000 0.000
0.000 4.242 0.000
0.000 0.000 15.739
Sb Au I
4 4 2
direct
0.000 0.000 0.134
0.000 0.000 0.866
0.500 0.500 0.366
0.500 0.500 0.634
0.000 0.500 0.250
0.000 0.500 0.750
0.500 0.000 0.250
0.500 0.000 0.750
0.000 0.000 0.500
0.500 0.500 0.000
```

## Properties
- energy above the most stable polymorph in this dataset (meV/atom) = 68.6
- total DFT energy (no corrections) (eV/atom) = -3.21
- formation energy without anion corrections (meV/atom) = 60
- calculated volume (Å³/cell) = 283.22

***

# 7
First-principles (PBE-GGA) data for a relaxed structure of YCr2P, as listed in Alexandria.

Structure (POSCAR):
```
YCr2P
1.0
4.092 0.000 0.000
0.000 4.092 0.000
0.000 0.000 3.935
Y Cr P
1 2 1
direct
0.000 0.000 0.000
0.000 0.500 0.500
0.500 0.000 0.500
0.500 0.500 0.000
```

## Properties
- total DFT energy (no corrections) (eV/atom) = -7.62
- DFT formation energy (eV per atom) = 0.162
- calculated volume (Å³/cell) = 65.89

***

# 8
First-principles (PBE-GGA) data for a relaxed structure of Ga2HgPO6, as listed in Alexandria.

Structure (POSCAR):
```
Ga2HgPO6
1.0
4.366 -6.134 0.000
4.366 6.134 0.000
-2.152 0.000 5.209
Ga Hg P O
4 2 2 12
direct
0.049 0.211 0.139
0.211 0.049 0.639
0.789 0.951 0.361
0.951 0.789 0.861
0.433 0.567 0.750
0.567 0.433 0.250
0.289 0.711 0.250
0.711 0.289 0.750
0.085 0.181 0.468
0.152 0.708 0.002
0.181 0.085 0.968
0.231 0.498 0.276
0.292 0.848 0.498
0.498 0.231 0.776
0.502 0.769 0.224
0.708 0.152 0.502
0.769 0.502 0.724
0.819 0.915 0.032
0.848 0.292 0.998
0.915 0.819 0.532
```

## Properties
- total DFT energy (no corrections) (eV/atom) = -5.77
- formation energy without anion corrections (meV/atom) = -1615
- calculated volume (Å³/cell) = 279.00

***

# 9
First-principles (PBE-GGA) data for a relaxed structure of CdWSe2, as listed in Alexandria.

Structure (POSCAR):
```
CdWSe2
1.0
3.195 0.000 0.000
0.000 3.255 0.000
0.000 0.000 18.368
Cd W Se
2 2 4
direct
0.000 0.000 0.000
0.500 0.500 0.500
0.000 0.500 0.748
0.500 0.000 0.248
0.000 0.000 0.350
0.000 0.500 0.176
0.500 0.000 0.676
0.500 0.500 0.850
```

## Properties
- total DFT energy (no corrections) (eV/atom) = -5.22
- formation energy without anion corrections (meV/atom) = -8
- calculated volume (Å³/cell) = 190.98

***

# 10
First-principles (PBE-GGA) data for a relaxed structure of CaIn2Te2, as listed in Alexandria.

Structure (POSCAR):
```
CaIn2Te2
1.0
4.255 0.000 0.000
0.000 4.255 0.000
0.000 0.000 17.481
Ca In Te
2 4 4
direct
0.000 0.000 0.000
0.500 0.500 0.500
0.000 0.500 0.250
0.000 0.500 0.750
0.500 0.000 0.250
0.500 0.000 0.750
0.000 0.000 0.408
0.000 0.000 0.592
0.500 0.500 0.092
0.500 0.500 0.908
```

## Properties
- energy above the most stable polymorph in this dataset (meV/atom) = 0.0
- total DFT energy (no corrections) (eV/atom) = -3.29
- formation energy without anion corrections (meV/atom) = -541
- calculated volume (Å³/cell) = 316.51

***

# 11
First-principles (PBE-GGA) data for a relaxed structure of CaHf2TaAu, as listed in Alexandria.

Structure (POSCAR):
```
CaHf2TaAu
1.0
5.195 0.000 0.000
0.000 5.195 0.000
0.000 0.000 5.104
Ca Hf Ta Au
1 2 1 1
direct
0.000 0.000 0.000
0.000 0.500 0.500
0.500 0.000 0.500
0.500 0.500 0.000
0.500 0.500 0.500
```

## Properties
- total DFT energy (no corrections) (eV/atom) = -6.55
- DFT formation energy (eV per atom) = 0.861
- calculated volume (Å³/cell) = 137.75

***

# 12
First-principles (PBE-GGA) data for a relaxed structure of Pm2Dy4Sc5, as listed in Alexandria.

Structure (POSCAR):
```
Pm2Dy4Sc5
1.0
8.618 0.000 0.000
0.000 3.444 0.000
-3.842 0.000 10.880
Pm Dy Sc
2 4 5
direct
0.132 0.000 0.405
0.868 0.000 0.595
0.251 0.500 0.728
0.261 0.500 0.152
0.739 0.500 0.848
0.749 0.500 0.272
0.089 0.000 0.900
0.495 0.000 0.627
0.500 0.000 0.000
0.505 0.000 0.373
0.911 0.000 0.100
```

## Properties
- total DFT energy (no corrections) (eV/atom) = -5.28
- DFT formation energy (eV per atom) = 0.139
- calculated volume (Å³/cell) = 322.96

***

# 13
First-principles (PBE-GGA) data for a relaxed structure of CdCu2Ir, as listed in Alexandria.

Structure (POSCAR):
```
CdCu2Ir
1.0
2.782 0.000 0.000
-1.391 2.409 0.000
0.000 0.000 26.459
Cd Cu Ir
3 6 3
direct
0.000 0.000 0.000
0.333 0.667 0.667
0.667 0.333 0.333
0.000 0.000 0.246
0.000 0.000 0.506
0.333 0.667 0.172
0.333 0.667 0.913
0.667 0.333 0.580
0.667 0.333 0.839
0.000 0.000 0.760
0.333 0.667 0.426
0.667 0.333 0.093
```

## Properties
- total DFT energy (no corrections) (eV/atom) = -4.32
- DFT formation energy (eV per atom) = 0.174
- calculated volume (Å³/cell) = 177.29

***

# 14
First-principles (PBE-GGA) data for a relaxed structure of NaSrLi2, as listed in Alexandria.

Structure (POSCAR):
```
NaSrLi2
1.0
5.687 0.000 0.000
0.000 5.687 0.000
0.000 0.000 4.327
Na Sr Li
1 1 2
direct
0.000 0.000 0.000
0.500 0.500 0.000
0.000 0.500 0.500
0.500 0.000 0.500
```

## Properties
- energy above the most stable polymorph in this dataset (meV/atom) = 38.4
- total DFT energy (no corrections) (eV/atom) = -1.61
- DFT formation energy (eV per atom) = 0.100
- calculated volume (Å³/cell) = 139.91

***

# 15
First-principles (PBE-GGA) data for a relaxed structure of BaCeSiO5, as listed in Alexandria.

Structure (POSCAR):
```
BaCeSiO5
1.0
3.618 -4.936 0.000
3.618 4.936 0.000
-2.906 0.000 7.297
Ba Ce Si O
2 2 2 10
direct
0.160 0.840 0.750
0.840 0.160 0.250
0.500 0.500 0.000
0.500 0.500 0.500
0.185 0.815 0.250
0.815 0.185 0.750
0.089 0.255 0.892
0.190 0.624 0.373
0.255 0.089 0.392
0.376 0.810 0.127
0.423 0.577 0.750
0.577 0.423 0.250
0.624 0.190 0.873
0.745 0.911 0.608
0.810 0.376 0.627
0.911 0.745 0.108
```

## Properties
- total DFT energy (no corrections) (eV/atom) = -7.84
- formation energy without anion corrections (meV/atom) = -3082
- calculated volume (Å³/cell) = 260.67

***

# 16
First-principles (PBE-GGA) data for a relaxed structure of KPa4Pd3O12, as listed in Alexandria.

Structure (POSCAR):
```
KPa4Pd3O12
1.0
-4.176 4.176 4.176
4.176 -4.176 4.176
4.176 4.176 -4.176
K Pa Pd O
1 4 3 12
direct
0.000 0.000 0.000
0.000 0.000 0.500
0.000 0.500 0.000
0.500 0.000 0.000
0.500 0.500 0.500
0.000 0.500 0.500
0.500 0.000 0.500
0.500 0.500 0.000
0.119 0.297 0.822
0.178 0.475 0.297
0.178 0.881 0.703
0.297 0.178 0.475
0.297 0.822 0.119
0.475 0.297 0.178
0.525 0.703 0.822
0.703 0.178 0.881
0.703 0.822 0.525
0.822 0.119 0.297
0.822 0.525 0.703
0.881 0.703 0.178
```

## Properties
- total DFT energy (no corrections) (eV/atom) = -8.28
- formation energy without anion corrections (meV/atom) = -2576
- calculated volume (Å³/cell) = 291.37

***

# 17
First-principles (PBE-GGA) data for a relaxed structure of Mn2VSe6, as listed in Alexandria.

Structure (POSCAR):
```
Mn2VSe6
1.0
5.765 -2.258 0.000
5.765 2.258 0.000
-3.489 0.000 7.538
Mn V Se
2 1 6
direct
0.189 0.189 0.121
0.811 0.811 0.879
0.000 0.000 0.500
0.015 0.015 0.214
0.346 0.346 0.992
0.353 0.353 0.415
0.647 0.647 0.585
0.654 0.654 0.008
0.985 0.985 0.786
```

## Properties
- energy above the most stable polymorph in this dataset (meV/atom) = 254.9
- total DFT energy (no corrections) (eV/atom) = -5.64
- formation energy without anion corrections (meV/atom) = -271
- calculated volume (Å³/cell) = 196.31

***

# 18
First-principles (PBE-GGA) data for a relaxed structure of NdDyAs2O8, as listed in Alexandria.

Structure (POSCAR):
```
NdDyAs2O8
1.0
-2.555 2.555 5.772
2.555 -2.555 5.772
2.555 2.555 -5.772
Nd Dy As O
1 1 2 8
direct
0.000 0.000 0.000
0.250 0.750 0.500
0.500 0.500 0.000
0.750 0.250 0.500
0.282 0.670 0.112
0.330 0.442 0.611
0.424 0.024 0.101
0.558 0.169 0.888
0.677 0.576 0.601
0.831 0.718 0.389
0.924 0.323 0.899
0.976 0.076 0.399
```

## Properties
- total DFT energy (no corrections) (eV/atom) = -7.19
- formation energy without anion corrections (meV/atom) = -2333
- calculated volume (Å³/cell) = 150.71

***

# 19
First-principles (PBE-GGA) data for a relaxed structure of MnIn2Cl8, as listed in Alexandria.

Structure (POSCAR):
```
MnIn2Cl8
1.0
3.612 0.000 0.000
1.764 9.068 0.000
0.052 0.992 9.749
Mn In Cl
1 2 8
direct
0.000 0.000 0.000
0.160 0.684 0.663
0.840 0.316 0.337
0.039 0.931 0.723
0.271 0.460 0.200
0.342 0.306 0.525
0.414 0.178 0.936
0.586 0.822 0.064
0.658 0.694 0.475
0.729 0.540 0.800
0.961 0.069 0.277
```

## Properties
- energy above the most stable polymorph in this dataset (meV/atom) = 0.0
- total DFT energy (no corrections) (eV/atom) = -3.68
- formation energy without anion corrections (meV/atom) = -1008
- calculated volume (Å³/cell) = 319.32

***

# 20
First-principles (PBE-GGA) data for a relaxed structure of Ce2TmZrP4, as listed in Alexandria.

Structure (POSCAR):
```
Ce2TmZrP4
1.0
6.845 0.000 0.000
0.000 3.952 0.000
-2.277 0.000 6.465
Ce Tm Zr P
2 1 1 4
direct
0.000 0.000 0.000
0.000 0.500 0.500
0.500 0.000 0.500
0.500 0.500 0.000
0.262 0.500 0.248
0.266 0.000 0.761
0.734 0.000 0.239
0.738 0.500 0.752
```

## Properties
- total DFT energy (no corrections) (eV/atom) = -7.32
- DFT formation energy (eV per atom) = -1.503
- calculated volume (Å³/cell) = 174.86

***

# 21
First-principles (PBE-GGA) data for a relaxed structure of Sm2TmPd, as listed in Alexandria.

Structure (POSCAR):
```
Sm2TmPd
1.0
3.703 0.000 0.000
-1.851 3.207 0.000
0.000 0.000 29.478
Sm Tm Pd
6 3 3
direct
0.000 0.000 0.234
0.000 0.000 0.766
0.333 0.667 0.433
0.333 0.667 0.901
0.667 0.333 0.099
0.667 0.333 0.567
0.000 0.000 0.000
0.333 0.667 0.667
0.667 0.333 0.333
0.000 0.000 0.500
0.333 0.667 0.167
0.667 0.333 0.833
```

## Properties
- energy above the most stable polymorph in this dataset (meV/atom) = 167.7
- total DFT energy (no corrections) (eV/atom) = -5.03
- DFT formation energy (eV per atom) = -0.255
- calculated volume (Å³/cell) = 349.98

***

# 22
First-principles (PBE-GGA) data for a relaxed structure of ScCu2Re, as listed in Alexandria.

Structure (POSCAR):
```
ScCu2Re
1.0
9.266 0.000 0.000
0.000 2.666 0.000
-0.710 0.000 4.891
Sc Cu Re
2 4 2
direct
0.000 0.000 0.000
0.500 0.500 0.000
0.243 0.000 0.723
0.257 0.500 0.277
0.743 0.500 0.723
0.757 0.000 0.277
0.000 0.500 0.500
0.500 0.000 0.500
```

## Properties
- energy above the most stable polymorph in this dataset (meV/atom) = 105.3
- total DFT energy (no corrections) (eV/atom) = -6.55
- DFT formation energy (eV per atom) = 0.198
- calculated volume (Å³/cell) = 120.83

***

# 23
First-principles (PBE-GGA) data for a relaxed structure of BeNb2VZn, as listed in Alexandria.

Structure (POSCAR):
```
BeNb2VZn
1.0
4.545 0.000 0.000
0.000 4.545 0.000
0.000 0.000 4.680
Be Nb V Zn
1 2 1 1
direct
0.000 0.000 0.000
0.000 0.500 0.500
0.500 0.000 0.500
0.500 0.500 0.500
0.500 0.500 0.000
```

## Properties
- total DFT energy (no corrections) (eV/atom) = -5.63
- DFT formation energy (eV per atom) = 1.218
- calculated volume (Å³/cell) = 96.70

***

# 24
First-principles (PBE-GGA) data for a relaxed structure of PrY2In4, as listed in Alexandria.

Structure (POSCAR):
```
PrY2In4
1.0
4.800 0.000 0.000
0.000 4.800 0.000
0.000 0.000 18.190
Pr Y In
2 4 8
direct
0.000 0.000 0.000
0.500 0.500 0.500
0.000 0.000 0.250
0.000 0.000 0.750
0.500 0.500 0.250
0.500 0.500 0.750
0.000 0.500 0.125
0.000 0.500 0.375
0.000 0.500 0.625
0.000 0.500 0.875
0.500 0.000 0.125
0.500 0.000 0.375
0.500 0.000 0.625
0.500 0.000 0.875
```

## Properties
- total DFT energy (no corrections) (eV/atom) = -4.39
- DFT formation energy (eV per atom) = -0.297
- calculated volume (Å³/cell) = 419.15

***

# 25
First-principles (PBE-GGA) data for a relaxed structure of TiNb, as listed in Alexandria.

Structure (POSCAR):
```
TiNb
1.0
10.150 0.000 0.000
0.000 3.310 0.000
-2.229 0.000 4.203
Ti Nb
4 4
direct
0.118 0.000 0.367
0.382 0.500 0.633
0.618 0.500 0.367
0.882 0.000 0.633
0.132 0.500 0.881
0.368 0.000 0.119
0.632 0.000 0.881
0.868 0.500 0.119
```

## Properties
- total DFT energy (no corrections) (eV/atom) = -8.95
- DFT formation energy (eV per atom) = 0.028
- calculated volume (Å³/cell) = 141.20